one) PBE ZnPt15, relaxed; theoretical density = 14.06 Mg/m³; symmetry = Pccm, No. 49; M_tot = 0.0 μB/cell
1.0
7.917 0.000 0.000
0.000 45.235 0.000
0.000 0.000 3.946
Pt Zn
60 4
Direct
0.370 0.743 0.000
0.628 0.786 0.000
0.375 0.345 0.500
0.374 0.301 0.000
0.372 0.214 0.000
0.875 0.434 0.500
0.625 0.434 0.000
0.379 0.830 0.000
0.625 0.655 0.500
0.124 0.301 0.500
0.625 0.611 0.000
0.118 0.791 0.000
0.374 0.699 0.500
0.125 0.522 0.000
0.626 0.301 0.500
0.621 0.830 0.500
0.621 0.170 0.000
0.628 0.214 0.500
0.630 0.257 0.000
0.626 0.699 0.000
0.625 0.566 0.500
0.875 0.611 0.500
0.125 0.655 0.500
0.124 0.699 0.000
0.120 0.256 0.000
0.875 0.345 0.500
0.379 0.170 0.500
0.875 0.566 0.000
0.375 0.655 0.000
0.625 0.522 0.000
0.125 0.611 0.000
0.375 0.478 0.000
0.875 0.522 0.500
0.375 0.522 0.500
0.876 0.301 0.000
0.125 0.389 0.500
0.882 0.791 0.500
0.375 0.611 0.500
0.880 0.256 0.500
0.876 0.699 0.500
0.125 0.345 0.000
0.372 0.786 0.500
0.625 0.389 0.500
0.125 0.434 0.000
0.630 0.743 0.500
0.625 0.345 0.000
0.120 0.744 0.500
0.375 0.389 0.000
0.125 0.566 0.500
0.625 0.478 0.500
0.875 0.389 0.000
0.875 0.655 0.000
0.875 0.478 0.000
0.882 0.209 0.000
0.125 0.478 0.500
0.375 0.434 0.500
0.370 0.257 0.500
0.880 0.744 0.000
0.118 0.209 0.500
0.375 0.566 0.000
0.847 0.170 0.500
0.153 0.170 0.000
0.847 0.830 0.000
0.153 0.830 0.500

=====

two) PBE ZnPt15, relaxed; theoretical density = 12.37 Mg/m³; symmetry = P2/c, No. 13; M_tot = 0.0 μB/cell
1.0
-4.778 -0.364 -0.541
3.396 -36.136 -5.686
1.186 -0.618 4.634
Pt Zn
30 2
Direct
0.000 0.442 0.000
0.000 0.245 0.500
0.500 0.675 0.500
0.500 0.287 0.500
0.000 0.714 0.500
0.000 0.365 0.000
0.500 0.442 0.500
0.000 0.597 0.000
0.500 0.636 0.000
0.000 0.635 0.500
0.000 0.755 0.000
0.500 0.558 0.000
0.000 0.675 0.000
0.500 0.325 0.000
0.500 0.597 0.500
0.500 0.403 0.000
0.500 0.713 0.000
0.500 0.755 0.500
0.000 0.286 0.000
0.500 0.364 0.500
0.000 0.481 0.500
0.500 0.519 0.500
0.500 0.213 0.500
0.000 0.558 0.500
0.500 0.787 0.000
0.000 0.403 0.500
0.500 0.481 0.000
0.500 0.245 0.000
0.000 0.325 0.500
0.000 0.519 0.000
0.000 0.212 0.000
0.000 0.788 0.500

=====

Order of stability, best first: one), two)

=====

one) PBE ZnPt15, relaxed; theoretical density = 14.07 Mg/m³; symmetry = P2_1/m, No. 11; M_tot = 0.1 μB/cell
1.0
-3.941 3.179 2.288
-1.403 -2.296 0.775
22.505 -0.456 39.402
Pt Zn
30 2
Direct
0.123 0.750 0.712
0.375 0.250 0.669
0.875 0.250 0.110
0.626 0.750 0.801
0.375 0.250 0.757
0.875 0.250 0.934
0.625 0.750 0.066
0.375 0.250 0.845
0.625 0.750 0.978
0.627 0.750 0.712
0.125 0.750 0.155
0.625 0.750 0.155
0.875 0.250 0.022
0.125 0.750 0.978
0.375 0.250 0.934
0.625 0.750 0.331
0.125 0.750 0.890
0.125 0.750 0.244
0.373 0.250 0.288
0.625 0.750 0.243
0.375 0.250 0.110
0.375 0.250 0.022
0.124 0.750 0.801
0.625 0.750 0.890
0.877 0.250 0.288
0.875 0.250 0.845
0.125 0.750 0.066
0.875 0.250 0.756
0.374 0.250 0.199
0.876 0.250 0.199
0.875 0.250 0.671
0.125 0.750 0.329

=====

two) PBE ZnPt15, relaxed; theoretical density = 14.07 Mg/m³; symmetry = Pmma, No. 51; M_tot = 0.0 μB/cell
1.0
3.939 0.000 0.000
0.000 3.937 0.000
0.000 0.000 45.519
Pt Zn
30 2
Direct
0.250 0.500 0.301
0.250 0.500 0.744
0.750 0.000 0.743
0.250 0.000 0.699
0.250 0.500 0.654
0.750 0.000 0.566
0.750 0.500 0.256
0.250 0.000 0.257
0.750 0.000 0.390
0.750 0.000 0.301
0.250 0.000 0.522
0.250 0.500 0.390
0.750 0.500 0.610
0.750 0.500 0.346
0.750 0.000 0.478
0.750 0.500 0.170
0.750 0.000 0.212
0.250 0.000 0.610
0.250 0.500 0.830
0.750 0.500 0.788
0.750 0.500 0.699
0.250 0.500 0.212
0.750 0.000 0.655
0.250 0.000 0.345
0.250 0.500 0.566
0.250 0.000 0.434
0.750 0.500 0.434
0.750 0.500 0.522
0.250 0.000 0.788
0.250 0.500 0.478
0.250 0.000 0.169
0.750 0.000 0.831

=====

three) PBE ZnPt15, relaxed; theoretical density = 12.38 Mg/m³; symmetry = P2_1/m, No. 11; M_tot = 0.1 μB/cell
1.0
-1.161 5.366 -0.694
-1.583 0.123 3.599
32.859 8.925 14.149
Pt Zn
30 2
Direct
0.625 0.250 0.481
0.875 0.750 0.597
0.123 0.250 0.245
0.372 0.750 0.755
0.627 0.250 0.325
0.373 0.750 0.675
0.375 0.750 0.212
0.375 0.750 0.364
0.628 0.250 0.245
0.877 0.750 0.755
0.875 0.750 0.442
0.375 0.750 0.597
0.125 0.250 0.636
0.875 0.750 0.519
0.875 0.750 0.364
0.625 0.250 0.403
0.123 0.250 0.325
0.875 0.750 0.285
0.125 0.250 0.481
0.625 0.250 0.713
0.625 0.250 0.636
0.125 0.250 0.558
0.877 0.750 0.675
0.375 0.750 0.519
0.125 0.250 0.403
0.125 0.250 0.715
0.625 0.250 0.559
0.625 0.250 0.788
0.375 0.750 0.287
0.375 0.750 0.441
0.125 0.250 0.787
0.875 0.750 0.213

=====

Order of stability, best first: two), one), three)